Tc2IrRu6 | PBE | optimized geometry

The structure belongs to space group C2/c (No. 15); the cell edges are 8.915, 11.883 and 5.023 Å and the angles 90.00°, 98.51° and 90.00°. The asymmetric unit holds Tc at (0.135, 0.012, 0.386), Ir at (0.000, 0.429, 0.250), Ru at (0.045, 0.191, 0.012), Ru at (0.153, 0.377, 0.807) and Ru at (0.249, 0.324, 0.308).

The formation energy is 24.5 kJ per mole of atoms.

---

TcIr6Ru5 | PBE | optimized geometry

The structure belongs to space group Immm (No. 71); the cell edges are 3.843, 7.715 and 11.530 Å and the angles 90.00°, 90.00° and 90.00°. The asymmetric unit holds Tc at (0.000, 0.000, 0.000), Ir at (0.000, 0.250, 0.167), Ir at (0.000, 0.250, 0.500), Ru at (0.000, 0.000, 0.334), Ru at (0.000, 0.500, 0.000) and Ru at (0.000, 0.500, 0.335).

The energy above the most stable polymorph in this dataset is 0.00 eV per formula unit. The formation energy is -4.8 kJ per mole of atoms.

---

Tc2Ir15Ru2 | PBE | optimized geometry

The structure belongs to space group R-3m (No. 166, hexagonal axes); the cell edges are 8.8473, 8.8473 and 13.4920 Å and the angles 90.00°, 90.00° and 120.00°. The asymmetric unit holds Tc at (0.0000, 0.0000, 0.0850), Ir at (0.0000, 0.3481, 0.0000), Ir at (0.0000, 0.5000, 0.5000), Ir at (0.0016, 0.5008, 0.8286) and Ru at (0.0000, 0.0000, 0.2784).

The formation energy is 43.0 kJ per mole of atoms.

---

TcIrRu | PBE | optimized geometry

The structure belongs to space group I4mm (No. 107); the cell edges are 2.731, 2.731 and 11.520 Å and the angles 90.00°, 90.00° and 90.00°. The asymmetric unit holds Tc at (0.000, 0.000, 0.000), Ir at (0.000, 0.000, 0.666) and Ru at (0.000, 0.000, 0.340).

The energy above the most stable polymorph in this dataset is 0.37 eV per formula unit. The formation energy is -5.4 kJ per mole of atoms.

---

Tc5Ir12Ru3 | PBE | optimized geometry

The structure belongs to space group Ia-3d (No. 230); the cell edges are 14.406, 14.406 and 14.406 Å and the angles 90.00°, 90.00° and 90.00°. The asymmetric unit holds Tc at (0.000, 0.000, 0.000), Tc at (0.000, 0.250, 0.375), Ir at (0.017, 0.077, 0.653) and Ru at (0.000, 0.250, 0.125).

The formation energy is 79.7 kJ per mole of atoms.

---

TcIrRu | PBE | optimized geometry

The structure belongs to space group Ama2 (No. 40); the cell edges are 4.345, 4.772 and 8.241 Å and the angles 90.00°, 90.00° and 90.00°. The asymmetric unit holds Tc at (0.250, 0.166, 0.000), Ir at (0.250, 0.167, 0.332) and Ru at (0.250, 0.165, 0.666).

The energy above the most stable polymorph in this dataset is 0.00 eV per formula unit. The formation energy is -17.2 kJ per mole of atoms.

---

Tc2Ir2Ru5 | PBE | optimized geometry

The structure belongs to space group C2/m (No. 12); the cell edges are 8.593, 3.845 and 8.149 Å and the angles 90.00°, 108.54° and 90.00°. The asymmetric unit holds Tc at (0.167, 0.000, 0.055), Ir at (0.167, 0.000, 0.388), Ru at (0.000, 0.500, 0.166), Ru at (0.000, 0.500, 0.500) and Ru at (0.165, 0.000, 0.725).

The formation energy is 0.3 kJ per mole of atoms.

---

Tc2Ir3Ru4 | PBE | optimized geometry

The structure belongs to space group C2/c (No. 15); the cell edges are 8.177, 8.992 and 7.142 Å and the angles 90.00°, 90.28° and 90.00°. The asymmetric unit holds Tc at (0.166, 0.136, 0.433), Ir at (0.000, 0.089, 0.750), Ir at (0.168, 0.409, 0.248), Ru at (0.003, 0.364, 0.569) and Ru at (0.166, 0.139, 0.071).

The formation energy is 7.4 kJ per mole of atoms.

---

TcIr4Ru | PBE | optimized geometry

The structure belongs to space group Pmmm (No. 47); the cell edges are 2.727, 3.860 and 8.204 Å and the angles 90.00°, 90.00° and 90.00°. The asymmetric unit holds Tc at (0.000, 0.000, 0.000), Ir at (0.000, 0.000, 0.334), Ir at (0.500, 0.500, 0.165) and Ru at (0.500, 0.500, 0.500).

The energy above the most stable polymorph in this dataset is 0.00 eV per formula unit. The formation energy is -8.5 kJ per mole of atoms.

---

TcIr4Ru | PBE | optimized geometry

The structure belongs to space group F-43m (No. 216); the cell edges are 7.198, 7.198 and 7.198 Å and the angles 90.00°, 90.00° and 90.00°. The asymmetric unit holds Tc at (0.000, 0.000, 0.000), Ir at (0.125, 0.125, 0.625) and Ru at (0.250, 0.250, 0.250).

The energy above the most stable polymorph in this dataset is 3.76 eV per formula unit. The formation energy is 51.9 kJ per mole of atoms.

---

TcIr4Ru2 | PBE | optimized geometry

The structure belongs to space group Pmc2_1 (No. 26); the cell edges are 4.326, 4.677 and 10.746 Å and the angles 90.00°, 90.00° and 90.00°. The asymmetric unit holds Tc at (0.000, 0.163, 0.000), Ir at (0.000, 0.167, 0.249), Ir at (0.000, 0.334, 0.621), Ir at (0.500, 0.001, 0.876), Ir at (0.500, 0.498, 0.991), Ru at (0.500, 0.009, 0.627) and Ru at (0.500, 0.496, 0.258).

The energy above the most stable polymorph in this dataset is 0.00 eV per formula unit. The formation energy is 21.8 kJ per mole of atoms.

---

TcIrRu | PBE | optimized geometry

The structure belongs to space group C2/m (No. 12); the cell edges are 9.919, 2.738 and 6.511 Å and the angles 90.00°, 96.30° and 90.00°. The asymmetric unit holds Tc at (0.227, 0.000, 0.163), Ir at (0.044, 0.000, 0.807) and Ru at (0.130, 0.500, 0.474).

The energy above the most stable polymorph in this dataset is 0.62 eV per formula unit. The formation energy is 2.6 kJ per mole of atoms.